[1]
Below is a relaxed structure of Pu5Bi3Pt, with properties calculated at the PBE-GGA level.

Cell: 6.3232 9.5967 9.5967 Å, 120.00 90.00 90.00°
With the nearest neighbours (Å) after each atom.
Atoms (fractional coordinates):
Pu 0.0000 0.3333 0.6667  2 Pu 3.16, 6 Bi 3.36
Pu 0.2500 0.0000 0.2520  2 Pt 2.89
Pu 0.2500 0.2520 0.0000  2 Pt 2.89
Pu 0.0000 0.6667 0.3333  2 Pu 3.16, 6 Bi 3.36
Pu 0.7500 0.7480 0.0000  2 Pt 2.89
Pu 0.2500 0.7480 0.7480  2 Pt 2.89
Pu 0.7500 0.0000 0.7480  2 Pt 2.89
Pu 0.5000 0.6667 0.3333  2 Pu 3.16, 6 Bi 3.36
Pu 0.7500 0.2520 0.2520  2 Pt 2.89
Pu 0.5000 0.3333 0.6667  2 Pu 3.16, 6 Bi 3.36
Bi 0.7500 0.3913 0.0000  9 Pu 3.30-3.43
Bi 0.2500 0.6087 0.0000  9 Pu 3.30-3.43
Bi 0.7500 0.0000 0.3913  9 Pu 3.30-3.43
Bi 0.2500 0.0000 0.6087  9 Pu 3.30-3.43
Bi 0.7500 0.6087 0.6087  9 Pu 3.30-3.43
Bi 0.2500 0.3913 0.3913  9 Pu 3.30-3.43
Pt 0.5000 0.0000 0.0000  6 Pu 2.89, 2 Pt 3.16
Pt 0.0000 0.0000 0.0000  6 Pu 2.89, 2 Pt 3.16

The space group is P6_3/mcm, No. 193. The calculation puts the formation energy from the elements at -413.3 meV per atom. The spin magnetization is 0.55 μB per atom.

[2]
Below is a relaxed structure of Pu3BiPt, with properties calculated at the PBE-GGA level.

Cell: 7.2757 7.2757 7.2757 Å, 90.00 90.00 90.00°
With the nearest neighbours (Å) after each atom.
Atoms (fractional coordinates):
Pt 0.5000 0.0000 0.0000  8 Pu 3.05
Pt 0.0000 0.5000 0.0000  8 Pu 3.05
Pt 0.0000 0.0000 0.5000  8 Pu 3.05
Pu 0.2212 0.2212 0.2212  3 Pt 3.05, 3 Pu 3.22, 3 Bi 3.29
Pu 0.7788 0.7788 0.7788  3 Pt 3.05, 3 Pu 3.22, 3 Bi 3.29
Pu 0.2212 0.2212 0.7788  3 Pt 3.05, 3 Pu 3.22, 3 Bi 3.29
Pu 0.2212 0.7788 0.7788  3 Pt 3.05, 3 Pu 3.22, 3 Bi 3.29
Pu 0.2212 0.7788 0.2212  3 Pt 3.05, 3 Pu 3.22, 3 Bi 3.29
Pu 0.7788 0.2212 0.2212  3 Pt 3.05, 3 Pu 3.22, 3 Bi 3.29
Pu 0.7788 0.7788 0.2212  3 Pt 3.05, 3 Pu 3.22, 3 Bi 3.29
Pu 0.7788 0.2212 0.7788  3 Pt 3.05, 3 Pu 3.22, 3 Bi 3.29
Pu 0.5000 0.5000 0.5000  8 Pu 3.51, 6 Bi 3.64
Bi 0.0000 0.5000 0.5000  10 Pu 3.29-3.64, 4 Pt 3.64
Bi 0.5000 0.0000 0.5000  10 Pu 3.29-3.64, 4 Pt 3.64
Bi 0.5000 0.5000 0.0000  10 Pu 3.29-3.64, 4 Pt 3.64

The space group is Pm-3m, No. 221. The calculation puts the formation energy from the elements at -304.0 meV per atom. The spin magnetization is 2.69 μB per atom.

[3]
Below is a relaxed structure of PuBiPt4, with properties calculated at the PBE-GGA level.

Cell: 5.4713 5.4713 5.4713 Å, 60.00 60.00 60.00°
With the nearest neighbours (Å) after each atom.
Atoms (fractional coordinates):
Pt 0.6246 0.6246 0.1262  6 Pt 2.73-2.74
Pt 0.1262 0.6246 0.6246  6 Pt 2.73-2.74
Pt 0.6246 0.1262 0.6246  6 Pt 2.73-2.74
Pt 0.6246 0.6246 0.6246  6 Pt 2.73-2.74
Bi 0.0000 0.0000 0.0000  12 Pt 3.21, 4 Pu 3.35
Pu 0.2500 0.2500 0.2500  12 Pt 3.21, 4 Bi 3.35

The space group is F-43m, No. 216. The calculation puts the formation energy from the elements at -516.4 meV per atom. The spin magnetization is 0.85 μB per atom.

[4]
Below is a relaxed structure of Pu3BiPt2, with properties calculated at the PBE-GGA level.

Cell: 3.4661 3.4661 12.0401 Å, 90.00 90.00 90.00°
With the nearest neighbours (Å) after each atom.
Atoms (fractional coordinates):
Pu 0.0000 0.0000 0.7022  4 Pt 3.02
Pu 0.0000 0.0000 0.2978  4 Pt 3.02
Pu 0.0000 0.0000 0.0000  8 Pt 3.05
Pt 0.5000 0.5000 0.1512  8 Pu 3.02-3.05
Pt 0.5000 0.5000 0.8488  8 Pu 3.02-3.05
Bi 0.5000 0.5000 0.5000  8 Pu 3.45, 4 Bi 3.47

The space group is P4/mmm, No. 123. The calculation puts the formation energy from the elements at -576.9 meV per atom. The spin magnetization is 0.98 μB per atom.

[5]
Below is a relaxed structure of RbBiPt, with properties calculated at the PBE-GGA level.

Cell: 5.7293 5.6617 7.0244 Å, 90.00 114.03 90.00°
With the nearest neighbours (Å) after each atom.
Atoms (fractional coordinates):
Pt 0.0000 0.2287 0.0000  1 Pt 2.59, 2 Bi 2.67
Pt 0.0000 0.7713 0.0000  1 Pt 2.59, 2 Bi 2.67
Rb 0.6366 0.0000 0.2731  1 Rb 3.50, 4 Pt 3.60, 2 Bi 3.76
Rb 0.3634 0.0000 0.7269  1 Rb 3.50, 4 Pt 3.60, 2 Bi 3.76
Bi 0.1703 0.5000 0.3412  2 Pt 2.67
Bi 0.8297 0.5000 0.6588  2 Pt 2.67

The space group is Cmmm, No. 65. The calculation puts the formation energy from the elements at -252.0 meV per atom. The spin magnetization is 0.00 μB per atom.

[6]
Below is a relaxed structure of RbBiPt, with properties calculated at the PBE-GGA level.

Cell: 4.7822 8.7584 6.6790 Å, 50.78 90.02 74.17°
With the nearest neighbours (Å) after each atom.
Atoms (fractional coordinates):
Pt 0.6827 0.9815 0.2065  3 Bi 2.72-2.77, 2 Pt 2.88
Pt 0.0862 0.1748 0.2014  3 Bi 2.72-2.77, 2 Pt 2.88
Rb 0.7590 0.8290 0.8084  2 Pt 3.32-3.64
Rb 0.0097 0.3273 0.5995  2 Pt 3.32-3.64
Bi 0.4837 0.3800 0.0463  3 Pt 2.72-2.77
Bi 0.2851 0.7763 0.3616  3 Pt 2.72-2.77

The space group is C2/m, No. 12. The calculation puts the formation energy from the elements at -336.6 meV per atom. The spin magnetization is 0.00 μB per atom.

[7]
Below is a relaxed structure of RbBiPt3, with properties calculated at the PBE-GGA level.

Cell: 5.1095 5.1095 5.1095 Å, 90.00 90.00 90.00°
With the nearest neighbours (Å) after each atom.
Atoms (fractional coordinates):
Pt 0.5000 0.0000 0.0000  2 Rb 2.55
Pt 0.0000 0.0000 0.5000  2 Rb 2.55
Pt 0.0000 0.5000 0.0000  2 Rb 2.55
Bi 0.5000 0.5000 0.5000  12 Pt 3.61
Rb 0.0000 0.0000 0.0000  6 Pt 2.55

The space group is Pm-3m, No. 221. The calculation puts the formation energy from the elements at 1865.1 meV per atom. The spin magnetization is 0.00 μB per atom.

[8]
Below is a relaxed structure of RbBi2Pt, with properties calculated at the PBE-GGA level.

Cell: 3.7238 3.7238 8.8544 Å, 90.00 90.00 90.00°
With the nearest neighbours (Å) after each atom.
Atoms (fractional coordinates):
Bi 0.0000 0.0000 0.8293  1 Bi 3.02, 4 Pt 3.04
Bi 0.0000 0.0000 0.1707  1 Bi 3.02, 4 Pt 3.04
Rb 0.5000 0.5000 0.5000  4 Rb 3.72, 8 Bi 3.93
Pt 0.5000 0.5000 0.0000  8 Bi 3.04

The space group is P4/mmm, No. 123. The calculation puts the formation energy from the elements at -76.6 meV per atom. The spin magnetization is 0.00 μB per atom.

[9]
Below is a relaxed structure of Rb3BiPt, with properties calculated at the PBE-GGA level.

Cell: 6.3836 6.3836 6.3836 Å, 90.00 90.00 90.00°
With the nearest neighbours (Å) after each atom.
Atoms (fractional coordinates):
Pt 0.0000 0.0000 0.0000  6 Rb 3.19
Rb 0.0000 0.5000 0.0000  2 Pt 3.19
Rb 0.0000 0.0000 0.5000  2 Pt 3.19
Rb 0.5000 0.0000 0.0000  2 Pt 3.19
Bi 0.5000 0.5000 0.5000  12 Rb 4.51

The space group is Pm-3m, No. 221. The calculation puts the formation energy from the elements at 178.0 meV per atom. The spin magnetization is 0.40 μB per atom.

[10]
Below is a relaxed structure of RbBiPt, with properties calculated at the PBE-GGA level.

Cell: 4.5480 8.3059 12.2914 Å, 99.68 90.00 90.00°
With the nearest neighbours (Å) after each atom.
Atoms (fractional coordinates):
Pt 0.2501 0.8484 0.2843  3 Bi 2.69-2.80, 2 Pt 2.84
Pt 0.2499 0.3484 0.7843  3 Bi 2.69-2.80, 2 Pt 2.84
Pt 0.7499 0.1516 0.7157  3 Bi 2.69-2.80, 2 Pt 2.84
Pt 0.7501 0.6516 0.2157  3 Bi 2.69-2.80, 2 Pt 2.84
Rb 0.7500 0.2762 0.0070  4 Pt 3.56-3.69, 1 Bi 3.93
Rb 0.7500 0.7762 0.5070  4 Pt 3.56-3.69, 1 Bi 3.93
Rb 0.2500 0.2238 0.4930  4 Pt 3.56-3.69, 1 Bi 3.93
Rb 0.2500 0.7238 0.9930  4 Pt 3.56-3.69, 1 Bi 3.93
Bi 0.2499 0.0086 0.7679  3 Pt 2.69-2.80
Bi 0.7499 0.4914 0.7321  3 Pt 2.69-2.80
Bi 0.7501 0.9914 0.2321  3 Pt 2.69-2.80
Bi 0.2501 0.5086 0.2679  3 Pt 2.69-2.80

The space group is P2_1/m, No. 11. The calculation puts the formation energy from the elements at -291.6 meV per atom. The spin magnetization is 0.00 μB per atom.

[11]
Below is a relaxed structure of Rb2Bi2Pt, with properties calculated at the PBE-GGA level.

Cell: 7.4263 7.4263 6.2231 Å, 90.00 90.00 90.00°
With the nearest neighbours (Å) after each atom.
Atoms (fractional coordinates):
Rb 0.3279 0.1721 0.5000  5 Rb 3.62-3.89, 6 Bi 3.63-3.93
Rb 0.6721 0.8279 0.5000  5 Rb 3.62-3.89, 6 Bi 3.63-3.93
Rb 0.8279 0.3279 0.5000  5 Rb 3.62-3.89, 6 Bi 3.63-3.93
Rb 0.1721 0.6721 0.5000  5 Rb 3.62-3.89, 6 Bi 3.63-3.93
Bi 0.6498 0.1498 0.0000  2 Pt 2.83, 1 Bi 3.15
Bi 0.1498 0.3502 0.0000  2 Pt 2.83, 1 Bi 3.15
Bi 0.8502 0.6498 0.0000  2 Pt 2.83, 1 Bi 3.15
Bi 0.3502 0.8502 0.0000  2 Pt 2.83, 1 Bi 3.15
Pt 0.5000 0.5000 0.0000  4 Bi 2.83
Pt 0.0000 0.0000 0.0000  4 Bi 2.83

The space group is P4/mbm, No. 127. The calculation puts the formation energy from the elements at -241.5 meV per atom. The spin magnetization is 0.00 μB per atom.

[12]
Below is a relaxed structure of RbBiPt, with properties calculated at the PBE-GGA level.

Cell: 5.7360 4.6453 4.6453 Å, 120.00 90.00 90.00°
With the nearest neighbours (Å) after each atom.
Atoms (fractional coordinates):
Rb 0.6670 0.6667 0.3333  6 Pt 3.92-3.93, 6 Bi 3.93
Pt 0.1661 0.0000 0.0000  3 Bi 2.68
Bi 0.1669 0.3333 0.6667  3 Pt 2.68

The space group is P-6m2, No. 187. The calculation puts the formation energy from the elements at -207.3 meV per atom. The spin magnetization is 0.00 μB per atom.

[13]
Below is a relaxed structure of RbBiPt, with properties calculated at the PBE-GGA level.

Cell: 5.3264 5.3264 7.0036 Å, 90.00 90.00 90.00°
With the nearest neighbours (Å) after each atom.
Atoms (fractional coordinates):
Rb 0.0000 0.5000 0.3810  2 Pt 3.39-3.61, 4 Bi 3.77
Rb 0.5000 0.0000 0.6190  2 Pt 3.39-3.61, 4 Bi 3.77
Bi 0.5000 0.5000 0.0000  4 Pt 2.82
Bi 0.0000 0.0000 0.0000  4 Pt 2.82
Pt 0.5000 0.0000 0.1344  4 Bi 2.82
Pt 0.0000 0.5000 0.8656  4 Bi 2.82

The space group is P4/nmm, No. 129. The calculation puts the formation energy from the elements at -288.1 meV per atom. The spin magnetization is 0.00 μB per atom.

[14]
Below is a relaxed structure of RbBiPt, with properties calculated at the PBE-GGA level.

Cell: 7.3344 7.4856 8.0243 Å, 90.00 112.76 90.00°
With the nearest neighbours (Å) after each atom.
Atoms (fractional coordinates):
Bi 0.3033 0.8776 0.5802  3 Pt 2.71-2.72
Bi 0.1967 0.3776 0.9198  3 Pt 2.71-2.72
Bi 0.8033 0.6224 0.0802  3 Pt 2.71-2.72
Bi 0.6967 0.1224 0.4198  3 Pt 2.71-2.72
Pt 0.0743 0.1161 0.6644  3 Bi 2.71-2.72, 1 Pt 2.99
Pt 0.9257 0.8839 0.3356  3 Bi 2.71-2.72, 1 Pt 2.99
Pt 0.5743 0.3839 0.1644  3 Bi 2.71-2.72, 1 Pt 2.99
Pt 0.4257 0.6161 0.8356  3 Bi 2.71-2.72, 1 Pt 2.99
Rb 0.7210 0.1238 0.9144  2 Pt 3.26-3.60
Rb 0.7790 0.6238 0.5856  2 Pt 3.26-3.60
Rb 0.2210 0.3762 0.4144  2 Pt 3.26-3.60
Rb 0.2790 0.8762 0.0856  2 Pt 3.26-3.60

The space group is P2_1/c, No. 14. The calculation puts the formation energy from the elements at -340.6 meV per atom. The spin magnetization is 0.00 μB per atom.

[15]
Below is a relaxed structure of RbBiPt, with properties calculated at the PBE-GGA level.

Cell: 4.4992 6.6212 8.0191 Å, 78.91 73.57 70.29°
With the nearest neighbours (Å) after each atom.
Atoms (fractional coordinates):
Pt 0.9222 0.3264 0.8965  3 Bi 2.69-2.87, 2 Pt 2.82
Pt 0.3719 0.2130 0.1070  3 Bi 2.70-2.88, 2 Pt 2.82
Rb 0.1389 0.7699 0.0185  6 Pt 3.46-3.76
Rb 0.3588 0.8363 0.5068  1 Pt 3.66, 6 Bi 3.84-4.05, 1 Rb 3.91
Bi 0.7355 0.3216 0.2705  3 Pt 2.70-2.87
Bi 0.5553 0.2253 0.7319  3 Pt 2.69-2.88

The space group is P1, No. 1. The calculation puts the formation energy from the elements at -285.2 meV per atom. The spin magnetization is 0.00 μB per atom.

[16]
Below is a relaxed structure of RbBi2Pt, with properties calculated at the PBE-GGA level.

Cell: 5.8983 5.8983 10.0416 Å, 72.92 72.92 90.00°
With the nearest neighbours (Å) after each atom.
Atoms (fractional coordinates):
Rb 0.2500 0.7500 0.5000  4 Bi 3.60
Rb 0.5000 0.5000 0.0000  4 Bi 3.60
Bi 0.7759 0.1250 0.2500  2 Pt 2.78
Bi 0.3750 0.2241 0.7500  2 Pt 2.78
Bi 0.8750 0.0259 0.7500  2 Pt 2.78
Bi 0.9741 0.6250 0.2500  2 Pt 2.78
Pt 0.0000 0.0000 0.0000  4 Bi 2.78
Pt 0.7500 0.2500 0.5000  4 Bi 2.78

The space group is I-42d, No. 122. The calculation puts the formation energy from the elements at 10.1 meV per atom. The spin magnetization is 0.00 μB per atom.

[17]
Below is a relaxed structure of RbBiPt3, with properties calculated at the PBE-GGA level.

Cell: 5.2459 5.2459 5.2459 Å, 90.00 90.00 90.00°
With the nearest neighbours (Å) after each atom.
Atoms (fractional coordinates):
Pt 0.5000 0.0000 0.0000  2 Bi 2.62
Pt 0.0000 0.5000 0.0000  2 Bi 2.62
Pt 0.0000 0.0000 0.5000  2 Bi 2.62
Bi 0.0000 0.0000 0.0000  6 Pt 2.62
Rb 0.5000 0.5000 0.5000  12 Pt 3.71

The space group is Pm-3m, No. 221. The calculation puts the formation energy from the elements at 558.2 meV per atom. The spin magnetization is 0.00 μB per atom.

[18]
Below is a relaxed structure of RbBi4Pt, with properties calculated at the PBE-GGA level.

Cell: 7.5639 7.5785 8.4605 Å, 116.61 98.80 90.00°
With the nearest neighbours (Å) after each atom.
Atoms (fractional coordinates):
Pt 0.3034 0.4927 0.9854  7 Bi 2.83-3.01, 1 Pt 2.94
Pt 0.6966 0.5073 0.0146  7 Bi 2.83-3.01, 1 Pt 2.94
Rb 0.8516 0.7799 0.5597  9 Bi 3.70-4.09, 1 Pt 4.09
Rb 0.1484 0.2201 0.4403  9 Bi 3.70-4.09, 1 Pt 4.09
Bi 0.4599 0.6564 0.7879  2 Pt 2.86-3.01, 1 Bi 3.16
Bi 0.4599 0.1316 0.7879  2 Pt 2.86-3.01, 1 Bi 3.16
Bi 0.5401 0.3436 0.2121  2 Pt 2.86-3.01, 1 Bi 3.16
Bi 0.2650 0.6803 0.3606  1 Pt 2.90, 2 Bi 3.22
Bi 0.7350 0.3197 0.6394  1 Pt 2.90, 2 Bi 3.22
Bi 0.0000 0.7145 0.0000  2 Pt 2.83
Bi 0.5401 0.8684 0.2121  2 Pt 2.86-3.01, 1 Bi 3.16
Bi 0.0000 0.2855 0.0000  2 Pt 2.83

The space group is C2/m, No. 12. The calculation puts the formation energy from the elements at -144.9 meV per atom. The spin magnetization is 0.00 μB per atom.

[19]
Below is a relaxed structure of RbBi2Pt, with properties calculated at the PBE-GGA level.

Cell: 5.2277 10.1039 10.9685 Å, 117.42 103.79 90.00°
With the nearest neighbours (Å) after each atom.
Atoms (fractional coordinates):
Pt 0.1540 0.9044 0.3080  5 Bi 2.82-2.91
Pt 0.8460 0.5964 0.6920  5 Bi 2.82-2.91
Pt 0.1540 0.4036 0.3080  5 Bi 2.82-2.91
Pt 0.8460 0.0956 0.6920  5 Bi 2.82-2.91
Bi 0.9135 0.9135 0.8270  2 Pt 2.82
Bi 0.3017 0.9630 0.6035  3 Pt 2.88-2.91
Bi 0.6983 0.3595 0.3965  3 Pt 2.88-2.91
Bi 0.3017 0.6405 0.6035  3 Pt 2.88-2.91
Bi 0.9181 0.4181 0.8361  2 Pt 2.87, 1 Bi 3.07
Bi 0.6983 0.0370 0.3965  3 Pt 2.88-2.91
Bi 0.0819 0.5819 0.1639  2 Pt 2.87, 1 Bi 3.07
Bi 0.0865 0.0865 0.1730  2 Pt 2.82
Rb 0.7029 0.7029 0.4059  8 Bi 3.42-3.59, 6 Pt 3.68-3.75
Rb 0.5000 0.7451 0.0000  10 Bi 3.84-4.01, 4 Pt 3.90
Rb 0.2971 0.2971 0.5941  8 Bi 3.42-3.59, 6 Pt 3.68-3.75
Rb 0.5000 0.2549 0.0000  10 Bi 3.84-4.01, 4 Pt 3.90

The space group is Immm, No. 71. The calculation puts the formation energy from the elements at -235.7 meV per atom. The spin magnetization is 0.00 μB per atom.

[20]
Below is a relaxed structure of RbBiPt2, with properties calculated at the PBE-GGA level.

Cell: 4.8261 4.8261 6.8250 Å, 69.29 69.29 60.00°
With the nearest neighbours (Å) after each atom.
Atoms (fractional coordinates):
Bi 0.0000 0.0000 0.0000  6 Pt 2.80
Pt 0.6826 0.6826 0.9521  3 Bi 2.80, 3 Pt 2.85
Pt 0.3174 0.3174 0.0479  3 Bi 2.80, 3 Pt 2.85
Rb 0.5000 0.5000 0.5000  2 Pt 3.41

The space group is R-3m, No. 166. The calculation puts the formation energy from the elements at -155.0 meV per atom. The spin magnetization is 0.00 μB per atom.